{"formula": "Li2Ga3Au4", "functional": "PBE-GGA", "state": "relaxed", "e_above_lowest_polymorph_mev_per_atom": 0.0, "e_form_mev_per_atom": -399, "space_group": "No. 12", "cell": [[4.4656, -0.0518, 0.6025], [2.2146, 3.8614, 0.7042], [1.1069, 0.3997, 9.1724]], "species": ["Li", "Li", "Ga", "Ga", "Ga", "Au", "Au", "Au", "Au"], "frac_coords": [[0.4050, 0.4049, 0.7877], [0.5950, 0.5951, 0.2123], [0.1982, 0.1983, 0.4006], [0.0000, 0.0000, 0.0000], [0.8018, 0.8017, 0.5994], [0.6996, 0.6996, 0.9021], [0.8957, 0.8958, 0.3090], [0.1043, 0.1042, 0.6910], [0.3004, 0.3004, 0.0979]]}